Entry 1:
# K2GaTeH, relaxed, DFT PBE-GGA
# final energy = -2.33 eV/atom
# total magnetization = 0.549 μB/f.u.
data_K2GaTeH
_symmetry_space_group_name_H-M 'P 4/m m m'
_symmetry_Int_Tables_number 123
_symmetry_space_group_name_Hall '-P 4 2'
_cell_length_a 6.811
_cell_length_b 6.811
_cell_length_c 4.006
_cell_angle_alpha 90.00
_cell_angle_beta 90.00
_cell_angle_gamma 90.00
loop_
_atom_site_label
_atom_site_fract_x
_atom_site_fract_y
_atom_site_fract_z
K1 0.000 0.500 0.000
Ga1 0.000 0.000 0.500
Te1 0.500 0.500 0.000
H1 0.500 0.500 0.500

---

Entry 2:
# CsKAg, relaxed, DFT PBE-GGA
# polymorph energy (0 for the lowest one) = 0.29 eV per formula unit
# formation enthalpy at 0 K = 108 meV/atom
# final energy = -1.49 eV/atom
# total magnetization = 0.000 μB/f.u.
data_CsKAg
_symmetry_space_group_name_H-M 'P 3 m 1'
_symmetry_Int_Tables_number 156
_symmetry_space_group_name_Hall 'P 3 -2"'
_cell_length_a 5.9425
_cell_length_b 5.9425
_cell_length_c 5.3898
_cell_angle_alpha 90.00
_cell_angle_beta 90.00
_cell_angle_gamma 120.00
loop_
_atom_site_label
_atom_site_fract_x
_atom_site_fract_y
_atom_site_fract_z
Cs1 0.0000 0.0000 0.0000
K1 0.6667 0.3333 0.4960
Ag1 0.3333 0.6667 0.5214

---

Entry 3:
# Ti7Zn3Re2, relaxed, DFT PBE-GGA
# formation enthalpy at 0 K = 173 meV/atom
# final energy = -6.83 eV/atom
# total magnetization = 0.000 μB/f.u.
data_Ti7Zn3Re2
_symmetry_space_group_name_H-M 'C m m m'
_symmetry_Int_Tables_number 65
_symmetry_space_group_name_Hall '-C 2 2'
_cell_length_a 4.222
_cell_length_b 22.436
_cell_length_c 4.393
_cell_angle_alpha 90.00
_cell_angle_beta 90.00
_cell_angle_gamma 90.00
loop_
_atom_site_label
_atom_site_fract_x
_atom_site_fract_y
_atom_site_fract_z
Ti1 0.000 0.000 0.000
Ti2 0.000 0.082 0.500
Ti3 0.000 0.282 0.000
Ti4 0.000 0.417 0.000
Zn1 0.000 0.344 0.500
Zn2 0.000 0.500 0.500
Re1 0.000 0.149 0.000